First-principles (PBE-GGA) data for an optimized crystal structure of LaCo2Ni2, as listed in Alexandria via LeMat-Bulk.

abc: 5.8836 5.8836 5.8836
angles: 141.41 141.41 55.71
Last column: nearest neighbours and their distance in Å.
Element x y z (fractional)
La  0.0000  0.0000  0.0000  8 Ni 3.00, 8 Co 3.25
Co  0.2500  0.7500  0.5000  4 Ni 2.39
Co  0.7500  0.2500  0.5000  4 Ni 2.39
Ni  0.3835  0.3835  0.0000  4 Co 2.39, 1 Ni 2.42
Ni  0.6165  0.6165  0.0000  4 Co 2.39, 1 Ni 2.42

## Properties
* calculated total energy: -6.150 eV/atom
* ΔE to the lowest computed polymorph: 0.020 eV/f.u.
* DFT formation energy: -0.01 eV per atom